# 1
Entry from the Open Quantum Materials Database: an optimized crystal structure of UInOs (PBE).

## Properties
Mass density in g/cm³: 12.162
Final energy in eV per atom: -7.385
Volume in Å³/cell: 297

Unit cell a=6.669 b=6.669 c=6.669 alpha=90.00 beta=90.00 gamma=90.00
Space group F-43m (No. 216)
One atom of each set of equivalent atoms:
U 0.000 0.000 0.000 [4 per cell]
In 0.250 0.250 0.750 [4 per cell]
Os 0.250 0.250 0.250 [4 per cell]

---

# 2
Entry from the Open Quantum Materials Database: an optimized crystal structure of ZrGaFeAg (PBE).

## Properties
Energy above the most stable polymorph in this dataset in meV/atom: 14
Mass density in g/cm³: 7.921
Volume in Å³/cell: 272

Unit cell a=6.481 b=6.481 c=6.481 alpha=90.00 beta=90.00 gamma=90.00
Space group F-43m (No. 216)
One atom of each set of equivalent atoms:
Zr 0.000 0.000 0.000 [4 per cell]
Ga 0.250 0.250 0.250 [4 per cell]
Fe 0.000 0.000 0.500 [4 per cell]
Ag 0.250 0.250 0.750 [4 per cell]

---

# 3
Entry from the Open Quantum Materials Database: an optimized crystal structure of AlFe2Co (PBE).

## Properties
Mass density in g/cm³: 7.136
Final energy in eV per atom: -6.989
Volume in Å³/cell: 46

Unit cell a=4.026 b=4.026 c=2.837 alpha=90.00 beta=90.00 gamma=90.00
Space group P4/mmm (No. 123)
One atom of each set of equivalent atoms:
Al 0.000 0.000 0.000 [1 per cell]
Fe 0.000 0.500 0.500 [2 per cell]
Co 0.500 0.500 0.000 [1 per cell]

---

# 4
Entry from the Open Quantum Materials Database: an optimized crystal structure of YAl2Ni (PBE).

## Properties
Mass density in g/cm³: 4.517
Final energy in eV per atom: -5.468
Volume in Å³/cell: 296

Unit cell a=4.183 b=17.700 c=4.003 alpha=90.00 beta=90.00 gamma=90.00
Space group Cmmm (No. 65)
One atom of each set of equivalent atoms:
Y 0.000 0.142 0.000 [4 per cell]
Al 0.000 0.000 0.500 [2 per cell]
Al 0.000 0.292 0.500 [4 per cell]
Al 0.000 0.500 0.000 [2 per cell]
Ni 0.000 0.425 0.500 [4 per cell]

---

# 5
Entry from the Open Quantum Materials Database: an optimized crystal structure of RbHo2CuSe3S (PBE).

## Properties
Mass density in g/cm³: 6.066
Final energy in eV per atom: -5.088
Volume in Å³/cell: 819

Unit cell a=4.080 b=14.149 c=14.186 alpha=90.00 beta=90.00 gamma=90.00
Space group Cmcm (No. 63)
One atom of each set of equivalent atoms:
Rb 0.000 0.102 0.250 [4 per cell]
Ho 0.000 0.366 0.068 [8 per cell]
Cu 0.000 0.160 0.750 [4 per cell]
Se 0.000 0.000 0.000 [4 per cell]
Se 0.000 0.264 0.610 [8 per cell]
S 0.000 0.423 0.250 [4 per cell]

---

# 6
Entry from the Open Quantum Materials Database: an optimized crystal structure of PaPPtO (PBE).

## Properties
Energy above the most stable polymorph in this dataset in meV/atom: 495
Mass density in g/cm³: 10.582
Volume in Å³/cell: 148

Unit cell a=5.826 b=5.826 c=4.374 alpha=90.00 beta=90.00 gamma=90.00
Space group P4/nmm (No. 129, origin choice 2)
One atom of each set of equivalent atoms:
Pa 0.250 0.750 0.000 [2 per cell]
P 0.250 0.250 0.092 [2 per cell]
Pt 0.250 0.250 0.597 [2 per cell]
O 0.250 0.750 0.500 [2 per cell]